! KLaMg2 (GGA-PBE, relaxed); values from VASP
&SYSTEM
  ibrav = 0, nat = 4, ntyp = 3
/
ATOMIC_SPECIES
K 39.10 K.upf
La 138.91 La.upf
Mg 24.30 Mg.upf
CELL_PARAMETERS angstrom
0.0000 4.1035 4.1035
4.1035 0.0000 4.1035
4.1035 4.1035 0.0000
ATOMIC_POSITIONS angstrom
K 0.0000 0.0000 0.0000
La 4.1035 4.1035 4.1035
Mg 2.0517 2.0517 2.0517
Mg 6.1552 6.1552 6.1552
! E above lowest polymorph   0.45 eV per formula unit
! Magnetization   0.0 μB/cell
! Energy of formation   0.22 eV per atom
! DOS at the Fermi energy   1.78 states/eV/f.u.
! E   -8.35 eV per formula unit


! K2LaMg (GGA-PBE, relaxed); values from VASP
&SYSTEM
  ibrav = 0, nat = 4, ntyp = 3
/
ATOMIC_SPECIES
K 39.10 K.upf
La 138.91 La.upf
Mg 24.30 Mg.upf
CELL_PARAMETERS angstrom
-1.8696 2.8041 9.7996
1.8696 -2.8041 9.7996
1.8696 2.8041 -9.7996
ATOMIC_POSITIONS angstrom
K 0.0000 0.0000 3.2674
K 0.0000 0.0000 16.3318
La 0.0000 2.8041 0.0000
Mg 1.8696 0.0000 0.0000
! Magnetization   0.0 μB/cell
! Energy of formation   0.27 eV per atom
! DOS at the Fermi energy   3.19 states/eV/f.u.
! E   -7.64 eV per formula unit


! KLa3Mg (GGA-PBE, relaxed); values from VASP
&SYSTEM
  ibrav = 0, nat = 5, ntyp = 3
/
ATOMIC_SPECIES
K 39.10 K.upf
La 138.91 La.upf
Mg 24.30 Mg.upf
CELL_PARAMETERS angstrom
5.7409 0.0000 0.0000
0.0000 5.7409 0.0000
0.0000 0.0000 5.7409
ATOMIC_POSITIONS angstrom
K 0.0000 0.0000 0.0000
La 0.0000 0.0000 2.8704
La 0.0000 2.8704 0.0000
La 2.8704 0.0000 0.0000
Mg 2.8704 2.8704 2.8704
! E above lowest polymorph   2.24 eV per formula unit
! Magnetization   0.0 μB/cell
! Energy of formation   0.99 eV per atom
! DOS at the Fermi energy   10.17 states/eV/f.u.
! E   -12.52 eV per formula unit


! KLaMg2Ni (GGA-PBE, relaxed); values from VASP
&SYSTEM
  ibrav = 0, nat = 5, ntyp = 4
/
ATOMIC_SPECIES
K 39.10 K.upf
La 138.91 La.upf
Mg 24.30 Mg.upf
Ni 58.69 Ni.upf
CELL_PARAMETERS angstrom
5.3256 0.0000 0.0000
0.0000 5.3256 0.0000
0.0000 0.0000 5.1310
ATOMIC_POSITIONS angstrom
K 0.0000 0.0000 0.0000
La 2.6628 2.6628 0.0000
Mg 0.0000 2.6628 2.5655
Mg 2.6628 0.0000 2.5655
Ni 2.6628 2.6628 2.5655
! Magnetization   0.0 μB/cell
! Energy of formation   -0.02 eV per atom
! DOS at the Fermi energy   3.33 states/eV/f.u.
! E   -15.11 eV per formula unit